# 1
# SCAN CeSn6Ru4, PBEsol geometry
# VASP energy ... -807.2 eV/cell
# Density of states at the Fermi level ... 3.85 states/eV/cell
data_CeSn6Ru4
_symmetry_space_group_name_H-M 'I -4 2 m'
_symmetry_Int_Tables_number 121
_symmetry_space_group_name_Hall 'I -4 2'
_cell_length_a 6.8240
_cell_length_b 6.8240
_cell_length_c 9.7293
_cell_angle_alpha 90.00
_cell_angle_beta 90.00
_cell_angle_gamma 90.00
loop_
_atom_site_label
_atom_site_fract_x
_atom_site_fract_y
_atom_site_fract_z
_atom_site_occupancy
Ce1 0.0000 0.0000 0.0000 1
Sn1 0.0000 0.5000 0.0000 1
Sn2 0.1749 0.1749 0.2946 1
Ru1 0.1754 0.1754 0.5763 1

# 2
# SCAN Ce2S3, PBEsol geometry
# ΔE_f (raw) ... -2310 meV/atom
# VASP energy ... -518.2 eV/cell
# Density of states at the Fermi level ... 15.99 states/eV/cell
data_Ce2S3
_symmetry_space_group_name_H-M 'P n m a'
_symmetry_Int_Tables_number 62
_cell_length_a 7.3265
_cell_length_b 3.9632
_cell_length_c 15.1173
_cell_angle_alpha 90.00
_cell_angle_beta 90.00
_cell_angle_gamma 90.00
loop_
_symmetry_equiv_pos_as_xyz
'x,y,z'
'-x,-y,-z'
'-x+1/2,-y,z+1/2'
'x+1/2,y,-z+1/2'
'x+1/2,-y+1/2,-z+1/2'
'-x+1/2,y+1/2,z+1/2'
'-x,y+1/2,-z'
'x,-y+1/2,z'
loop_
_atom_site_label
_atom_site_fract_x
_atom_site_fract_y
_atom_site_fract_z
_atom_site_occupancy
Ce1 0.1299 0.2500 0.2077 1
Ce2 0.2407 0.7500 0.4575 1
S1 0.0060 0.2500 0.3920 1
S2 0.1285 0.7500 0.0695 1
S3 0.1509 0.2500 0.7788 1